Version A
First-principles (GGA-PBE) data for an optimized crystal structure of Pm5YEr, as listed in Alexandria via LeMat-Bulk.

Computed properties:
V = 479.29 Å³/cell
crystal system = monoclinic
D(E_F) = 1.44 states/eV/atom

Structure (extended XYZ):
```
14
Lattice="5.4165 -3.3259 0.0000 5.4165 3.3259 0.0000 -1.0302 0.0000 13.3027" Properties=species:S:1:pos:R:3 pbc="T T T"
Pm 2.5864 0.0580 2.1019
Pm 4.6438 1.6989 9.9770
Pm 2.0712 -0.0580 8.7532
Pm 3.1672 0.0477 5.6003
Pm 2.6520 -0.0477 12.2516
Pm 7.1507 0.0477 1.0511
Pm 6.6356 -0.0477 7.7024
Pm 7.7315 0.0580 4.5495
Pm 5.1590 -1.6989 3.3257
Pm 7.2164 -0.0580 11.2008
Y 5.1590 1.7982 3.3257
Y 4.6438 -1.7982 9.9770
Er 0.0000 0.0000 0.0000
Er -0.5151 0.0000 6.6513
```



Version B
First-principles (GGA-PBE) data for an optimized crystal structure of Pm5YEr, as listed in Alexandria via LeMat-Bulk.

Computed properties:
V = 314.86 Å³/cell
crystal system = orthorhombic
D(E_F) = 1.70 states/eV/atom

Structure (extended XYZ):
```
7
Lattice="-2.9520 4.3970 6.0642 2.9520 -4.3970 6.0642 2.9520 4.3970 -6.0642" Properties=species:S:1:pos:R:3 pbc="T T T"
Pm 0.0000 0.0000 0.0000
Pm 2.9520 0.0000 2.9951
Pm 2.9520 2.8397 0.0000
Pm 0.0000 1.5573 6.0642
Pm 0.0000 4.3970 3.0691
Y 0.0000 4.3970 0.0000
Er 2.9520 0.0000 0.0000
```



Q: Which of them is the most stable? A: version A.



Version A
First-principles (GGA-PBE) data for an optimized crystal structure of Pm3Y2Er6, as listed in Alexandria via LeMat-Bulk.

Computed properties:
V = 372.84 Å³/cell
crystal system = tetragonal
D(E_F) = 1.64 states/eV/atom

Structure (extended XYZ):
```
11
Lattice="-2.3645 2.3645 16.6714 2.3645 -2.3645 16.6714 2.3645 2.3645 -16.6714" Properties=species:S:1:pos:R:3 pbc="T T T"
Pm 0.0000 0.0000 0.0000
Pm 0.0000 0.0000 6.7721
Pm 0.0000 0.0000 26.5707
Y 0.0000 0.0000 15.1200
Y 0.0000 0.0000 18.2229
Er 2.3645 0.0000 4.0620
Er 0.0000 0.0000 10.2044
Er 2.3645 0.0000 12.6094
Er 0.0000 2.3645 4.0620
Er 0.0000 0.0000 23.1384
Er 0.0000 2.3645 12.6094
```



Version B
First-principles (GGA-PBE) data for an optimized crystal structure of Pm3Y2Er6, as listed in Alexandria via LeMat-Bulk.

Computed properties:
V = 349.86 Å³/cell
crystal system = triclinic
D(E_F) = 1.37 states/eV/atom

Structure (extended XYZ):
```
11
Lattice="6.1501 0.0000 0.0000 -1.0025 7.8684 0.0000 -2.0279 -2.6637 7.2299" Properties=species:S:1:pos:R:3 pbc="T T T"
Pm 0.0000 0.0000 0.0000
Pm 1.0412 0.9504 3.2808
Pm 2.0785 4.2544 3.9491
Y -0.9933 5.4619 2.6230
Y 4.1130 -0.2572 4.6069
Er -0.9977 3.0648 5.2709
Er 1.0467 3.3391 0.6515
Er 1.0382 -1.4570 5.9312
Er 2.0815 6.6617 1.2987
Er 2.0730 1.8656 6.5784
Er 4.1174 2.1399 1.9590
```



Q: Which of them is the most stable? A: version B.



Version A
First-principles (GGA-PBE) data for an optimized crystal structure of PmYEr6, as listed in Alexandria via LeMat-Bulk.

Computed properties:
V = 254.30 Å³/cell
crystal system = triclinic
D(E_F) = 1.69 states/eV/atom

Structure (extended XYZ):
```
8
Lattice="6.5221 0.0000 0.0000 -0.0292 6.6835 0.0000 -1.7664 -3.3366 5.8339" Properties=species:S:1:pos:R:3 pbc="T T T"
Pm 0.0000 0.0000 0.0000
Y 3.2610 0.0000 0.0000
Er 0.6276 4.4580 2.7877
Er 1.6250 3.0577 0.0068
Er 0.8262 1.1246 3.0593
Er 3.9003 2.2223 2.7745
Er 3.1015 0.2892 5.8271
Er 4.0988 -1.1111 3.0461
```



Version B
First-principles (GGA-PBE) data for an optimized crystal structure of PmYEr6, as listed in Alexandria via LeMat-Bulk.

Computed properties:
V = 258.35 Å³/cell
crystal system = trigonal
D(E_F) = 1.59 states/eV/atom

Structure (extended XYZ):
```
8
Lattice="4.7861 2.7633 3.2557 -4.7861 2.7633 3.2557 0.0000 -5.5265 3.2557" Properties=species:S:1:pos:R:3 pbc="T T T"
Pm 0.0000 0.0000 0.0000
Y 0.0000 0.0000 4.8835
Er -3.3657 -0.3070 4.0592
Er -1.4170 -3.0683 5.7078
Er 1.9487 -2.7613 4.0592
Er -1.9487 2.7613 5.7078
Er 1.4170 3.0683 4.0592
Er 3.3657 0.3070 5.7078
```



Q: Which of them is the most stable? A: version B.